1.
DFT (PBE) results for a relaxed MgScAgTeSe2 crystal.

extended XYZ file:
```
12
Lattice="-6.776 0.350 -1.616 4.940 -2.505 4.240 -1.076 8.699 6.392" Properties=species:S:1:pos:R:3 pbc="T T T"
Se 0.095 3.395 5.695
Se -2.597 -0.167 0.884
Se -0.315 6.711 8.132
Se -3.008 3.149 3.321
Sc 0.000 0.000 0.000
Sc -0.538 4.349 3.196
Mg 2.307 0.246 4.656
Mg -5.219 6.298 4.360
Te 2.644 4.382 8.290
Te -5.556 2.162 0.726
Ag -1.468 5.384 6.234
Ag -1.444 1.160 2.782
```

Total energy in eV/cell: -52.24
Theoretical density in g/cm³: 5.5
Symmetry: Cmcm, No. 63
M_tot in μB per formula unit: 0.004



2.
DFT (PBE) results for a relaxed MgScAgTe3 crystal.

extended XYZ file:
```
12
Lattice="0.233 6.317 -3.650 -3.247 6.344 -1.580 5.124 4.752 8.551" Properties=species:S:1:pos:R:3 pbc="T T T"
Te 2.886 12.661 4.687
Te 0.932 2.655 1.532
Te 0.906 10.825 1.382
Te -0.776 4.753 -1.366
Te 1.178 14.758 1.789
Te 1.204 6.589 1.938
Sc 0.000 0.000 0.000
Sc 2.562 2.376 4.276
Ag 2.267 10.185 3.678
Ag -0.157 7.229 -0.358
Mg -1.077 11.092 -1.953
Mg 3.186 6.322 5.274
```

Total energy in eV/cell: -48.42
Theoretical density in g/cm³: 5.9
Symmetry: Cmcm, No. 63
M_tot in μB per formula unit: 0.001



3.
DFT (PBE) results for a relaxed MgScTlAg crystal.

extended XYZ file:
```
4
Lattice="0.000 3.466 3.466 3.466 0.000 3.466 3.466 3.466 0.000" Properties=species:S:1:pos:R:3 pbc="T T T"
Sc 1.733 1.733 1.733
Ag 0.000 0.000 0.000
Tl 3.466 3.466 3.466
Mg 5.200 5.200 5.200
```

Total energy in eV/cell: -14.07
Theoretical density in g/cm³: 7.6
E above lowest polymorph in eV per formula unit: 0.00
Symmetry: F-43m, No. 216
M_tot in μB per formula unit: 0.002



4.
DFT (PBE) results for a relaxed MgScTlAg crystal.

extended XYZ file:
```
4
Lattice="-3.976 -2.775 0.793 -4.468 2.042 -0.037 -3.106 -0.952 -3.685" Properties=species:S:1:pos:R:3 pbc="T T T"
Tl -2.887 -0.421 -0.732
Ag 0.000 0.000 0.000
Mg -8.662 -1.263 -2.197
Sc -5.775 -0.842 -1.465
```

Total energy in eV/cell: -13.49
Theoretical density in g/cm³: 7.6
E above lowest polymorph in eV per formula unit: 0.58
Symmetry: F-43m, No. 216
M_tot in μB per formula unit: 0.000



5.
DFT (PBE) results for a relaxed MgScTlAg crystal.

extended XYZ file:
```
4
Lattice="-2.686 -3.649 1.889 -0.843 -0.180 4.832 -4.498 0.911 1.743" Properties=species:S:1:pos:R:3 pbc="T T T"
Sc 0.000 0.000 0.000
Ag -2.006 -0.730 2.116
Mg -6.019 -2.189 6.348
Tl -4.013 -1.459 4.232
```

Total energy in eV/cell: -13.34
Theoretical density in g/cm³: 7.6
E above lowest polymorph in eV per formula unit: 0.73
Symmetry: F-43m, No. 216
M_tot in μB per formula unit: 0.006



6.
DFT (PBE) results for a relaxed Mg2Sc2TlZnAg2 crystal.

extended XYZ file:
```
8
Lattice="4.824 0.000 0.000 0.000 4.824 0.000 0.000 0.000 6.837" Properties=species:S:1:pos:R:3 pbc="T T T"
Ag 0.000 0.000 3.418
Ag 2.412 2.412 0.000
Mg 2.412 0.000 1.802
Mg 0.000 2.412 5.035
Zn 2.412 2.412 3.418
Tl 0.000 0.000 0.000
Sc 2.412 0.000 5.045
Sc 0.000 2.412 1.792
```

Total energy in eV/cell: -27.26
Theoretical density in g/cm³: 6.5
Symmetry: P-4m2, No. 115
M_tot in μB per formula unit: 0.006



7.
DFT (PBE) results for a relaxed Mg2Sc2ZnAg3 crystal.

extended XYZ file:
```
8
Lattice="-1.217 4.546 -0.668 -2.622 -1.254 -3.760 -5.332 -0.839 3.999" Properties=species:S:1:pos:R:3 pbc="T T T"
Ag 0.000 0.000 0.000
Ag -4.586 1.226 -0.215
Ag -1.919 1.646 -2.214
Mg -4.600 1.645 2.660
Mg -2.651 -0.838 -0.875
Sc -5.286 -1.253 1.101
Sc -1.965 2.059 0.684
Zn -2.666 -0.420 1.999
```

Total energy in eV/cell: -27.87
Theoretical density in g/cm³: 5.8
Symmetry: P-4m2, No. 115
M_tot in μB per formula unit: 0.001



8.
DFT (PBE) results for a relaxed SmMgAgSe3 crystal.

extended XYZ file:
```
12
Lattice="3.947 0.000 0.000 1.973 6.621 0.000 0.000 0.000 10.929" Properties=species:S:1:pos:R:3 pbc="T T T"
Ag 1.973 0.235 8.197
Ag 3.947 6.386 2.732
Se 1.973 2.000 10.116
Se 3.947 4.621 4.652
Se 1.973 5.061 8.197
Se 1.973 2.000 6.278
Se 3.947 1.560 2.732
Se 3.947 4.621 0.813
Mg 3.947 3.042 8.197
Mg 1.973 3.579 2.732
Sm 0.000 0.000 0.000
Sm 0.000 0.000 5.465
```

Total energy in eV/cell: -52.07
Theoretical density in g/cm³: 6.0
E above lowest polymorph in eV per formula unit: 0.12
Symmetry: Cmcm, No. 63
M_tot in μB per formula unit: 0.001